Entry from Alexandria via LeMat-Bulk: a relaxed Ba2NaCe2Ti2FeSi8HO27 crystal (GGA+U).

Structure (CIF):
```
data_Ba2NaCe2Ti2FeSi8HO27
_cell_length_a 10.5711
_cell_length_b 9.8059
_cell_length_c 11.8844
_cell_angle_alpha 90.00
_cell_angle_beta 110.50
_cell_angle_gamma 90.00
_symmetry_space_group_name_H-M 'C 1 2 1'
_symmetry_Int_Tables_number 5
_symmetry_space_group_name_Hall 'C 2y'
loop_
_atom_site_label
_atom_site_type_symbol
_atom_site_fract_x
_atom_site_fract_y
_atom_site_fract_z
Ba1 Ba 0.2498 0.0000 0.0045
Na1 Na 0.0000 0.0534 0.5000
Ce1 Ce 0.1559 0.7194 0.4614
Ti1 Ti 0.0515 0.7453 0.1286
Fe1 Fe 0.0000 0.3813 0.5000
Si1 Si 0.0991 0.4380 0.2769
Si2 Si 0.1186 0.2375 0.7547
Si3 Si 0.1244 0.0430 0.2896
Si4 Si 0.1929 0.7672 0.7593
H1 H 0.0000 0.2208 0.0000
O1 O 0.0000 0.5821 0.5000
O2 O 0.0000 0.6139 0.0000
O3 O 0.0000 0.8760 0.0000
O4 O 0.0299 0.1065 0.7782
O5 O 0.0566 0.3795 0.7946
O6 O 0.0884 0.8057 0.6266
O7 O 0.0908 0.6042 0.2712
O8 O 0.1163 0.8809 0.2598
O9 O 0.1229 0.2401 0.6209
O10 O 0.1331 0.7569 0.8677
O11 O 0.1557 0.3690 0.4082
O12 O 0.1788 0.0707 0.4321
O13 O 0.1904 0.3894 0.1942
O14 O 0.2249 0.1193 0.2280
O15 O 0.2373 0.7229 0.1347
```

## Properties
Calculated total energy = -680.7 eV for the cell shown